DFT (PBE) results for BeVRh after structural relaxation.

Values from the calculation:
- Volume: 11.8 A^3/atom
- Distance to the lowest polymorph of the same formula: 22.5 kJ/mol of formula units
- Total magnetization: 0.5 μB per formula unit
- E_tot: -7.096 eV/atom

The structure in CIF format:
```
data_BeVRh
_cell_length_a 4.677
_cell_length_b 4.677
_cell_length_c 4.098
_cell_angle_alpha 90.00
_cell_angle_beta 90.00
_cell_angle_gamma 127.81
_symmetry_space_group_name_H-M 'P 1'
_symmetry_Int_Tables_number 1
_symmetry_space_group_name_Hall 'P 1'
loop_
_atom_site_label
_atom_site_fract_x
_atom_site_fract_y
_atom_site_fract_z
_atom_site_occupancy
Be1 0.248 0.752 0.750 1
Be2 0.752 0.248 0.250 1
V1 0.081 0.919 0.250 1
V2 0.919 0.081 0.750 1
Rh1 0.394 0.606 0.250 1
Rh2 0.606 0.394 0.750 1
```

DFT (PBE) results for Be3VRh after structural relaxation.

Values from the calculation:
- Volume: 13.7 A^3/atom
- Distance to the lowest polymorph of the same formula: 0.0 kJ/mol of formula units
- Total magnetization: 2.7 μB per formula unit
- E_tot: -5.109 eV/atom

The structure in CIF format:
```
data_Be3VRh
_cell_length_a 4.092
_cell_length_b 4.092
_cell_length_c 4.092
_cell_angle_alpha 90.00
_cell_angle_beta 90.00
_cell_angle_gamma 90.00
_symmetry_space_group_name_H-M 'P 1'
_symmetry_Int_Tables_number 1
_symmetry_space_group_name_Hall 'P 1'
loop_
_atom_site_label
_atom_site_fract_x
_atom_site_fract_y
_atom_site_fract_z
_atom_site_occupancy
Be1 0.000 0.000 0.500 1
Be2 0.000 0.500 0.000 1
Be3 0.500 0.000 0.000 1
V1 0.500 0.500 0.500 1
Rh1 0.000 0.000 0.000 1
```

DFT (PBE) results for BeVRh after structural relaxation.

Values from the calculation:
- Volume: 11.9 A^3/atom
- Distance to the lowest polymorph of the same formula: 29.6 kJ/mol of formula units
- Total magnetization: 0.3 μB per formula unit
- E_tot: -7.071 eV/atom

The structure in CIF format:
```
data_BeVRh
_cell_length_a 4.598
_cell_length_b 4.598
_cell_length_c 5.859
_cell_angle_alpha 107.72
_cell_angle_beta 107.72
_cell_angle_gamma 37.50
_symmetry_space_group_name_H-M 'P 1'
_symmetry_Int_Tables_number 1
_symmetry_space_group_name_Hall 'P 1'
loop_
_atom_site_label
_atom_site_fract_x
_atom_site_fract_y
_atom_site_fract_z
_atom_site_occupancy
Be1 0.000 0.000 0.000 1
Be2 0.000 0.000 0.500 1
V1 0.326 0.326 0.661 1
V2 0.674 0.674 0.339 1
Rh1 0.361 0.361 0.177 1
Rh2 0.639 0.639 0.823 1
```

DFT (PBE) results for BeVRh3 after structural relaxation.

Values from the calculation:
- Volume: 17.5 A^3/atom
- Distance to the lowest polymorph of the same formula: 420.1 kJ/mol of formula units
- Total magnetization: 0.0 μB per formula unit
- E_tot: -6.075 eV/atom

The structure in CIF format:
```
data_BeVRh3
_cell_length_a 4.440
_cell_length_b 4.440
_cell_length_c 4.440
_cell_angle_alpha 90.00
_cell_angle_beta 90.00
_cell_angle_gamma 90.00
_symmetry_space_group_name_H-M 'P 1'
_symmetry_Int_Tables_number 1
_symmetry_space_group_name_Hall 'P 1'
loop_
_atom_site_label
_atom_site_fract_x
_atom_site_fract_y
_atom_site_fract_z
_atom_site_occupancy
Be1 0.000 0.000 0.000 1
V1 0.500 0.500 0.500 1
Rh1 0.000 0.500 0.500 1
Rh2 0.500 0.000 0.500 1
Rh3 0.500 0.500 0.000 1
```

DFT (PBE) results for Be4VRh5 after structural relaxation.

Values from the calculation:
- Volume: 11.4 A^3/atom
- Total magnetization: 0.4 μB per formula unit
- E_tot: -6.670 eV/atom

The structure in CIF format:
```
data_Be4VRh5
_cell_length_a 2.818
_cell_length_b 2.818
_cell_length_c 14.370
_cell_angle_alpha 90.00
_cell_angle_beta 90.00
_cell_angle_gamma 90.00
_symmetry_space_group_name_H-M 'P 1'
_symmetry_Int_Tables_number 1
_symmetry_space_group_name_Hall 'P 1'
loop_
_atom_site_label
_atom_site_fract_x
_atom_site_fract_y
_atom_site_fract_z
_atom_site_occupancy
Be1 0.000 0.000 0.096 1
Be2 0.000 0.000 0.284 1
Be3 0.000 0.000 0.716 1
Be4 0.000 0.000 0.904 1
V1 0.000 0.000 0.500 1
Rh1 0.500 0.500 0.000 1
Rh2 0.500 0.500 0.193 1
Rh3 0.500 0.500 0.386 1
Rh4 0.500 0.500 0.614 1
Rh5 0.500 0.500 0.807 1
```

DFT (PBE) results for BeVRh4 after structural relaxation.

Values from the calculation:
- Volume: 14.4 A^3/atom
- Total magnetization: 0.0 μB per formula unit
- E_tot: -7.168 eV/atom

The structure in CIF format:
```
data_BeVRh4
_cell_length_a 6.585
_cell_length_b 6.585
_cell_length_c 6.585
_cell_angle_alpha 35.62
_cell_angle_beta 35.62
_cell_angle_gamma 35.62
_symmetry_space_group_name_H-M 'P 1'
_symmetry_Int_Tables_number 1
_symmetry_space_group_name_Hall 'P 1'
loop_
_atom_site_label
_atom_site_fract_x
_atom_site_fract_y
_atom_site_fract_z
_atom_site_occupancy
Be1 0.000 0.000 0.000 1
V1 0.500 0.500 0.500 1
Rh1 0.122 0.122 0.122 1
Rh2 0.369 0.369 0.369 1
Rh3 0.631 0.631 0.631 1
Rh4 0.878 0.878 0.878 1
```

DFT (PBE) results for BeVRh after structural relaxation.

Values from the calculation:
- Volume: 11.9 A^3/atom
- Distance to the lowest polymorph of the same formula: 16.6 kJ/mol of formula units
- Total magnetization: 0.5 μB per formula unit
- E_tot: -7.116 eV/atom

The structure in CIF format:
```
data_BeVRh
_cell_length_a 2.895
_cell_length_b 2.895
_cell_length_c 8.507
_cell_angle_alpha 90.00
_cell_angle_beta 90.00
_cell_angle_gamma 90.00
_symmetry_space_group_name_H-M 'P 1'
_symmetry_Int_Tables_number 1
_symmetry_space_group_name_Hall 'P 1'
loop_
_atom_site_label
_atom_site_fract_x
_atom_site_fract_y
_atom_site_fract_z
_atom_site_occupancy
Be1 0.000 0.000 0.000 1
Be2 0.000 0.000 0.295 1
V1 0.000 0.000 0.647 1
V2 0.500 0.500 0.470 1
Rh1 0.500 0.500 0.160 1
Rh2 0.500 0.500 0.829 1
```

DFT (PBE) results for BeVRh after structural relaxation.

Values from the calculation:
- Volume: 12.2 A^3/atom
- Distance to the lowest polymorph of the same formula: 46.1 kJ/mol of formula units
- Total magnetization: 0.0 μB per formula unit
- E_tot: -7.014 eV/atom

The structure in CIF format:
```
data_BeVRh
_cell_length_a 3.980
_cell_length_b 3.980
_cell_length_c 2.668
_cell_angle_alpha 90.00
_cell_angle_beta 90.00
_cell_angle_gamma 120.00
_symmetry_space_group_name_H-M 'P 1'
_symmetry_Int_Tables_number 1
_symmetry_space_group_name_Hall 'P 1'
loop_
_atom_site_label
_atom_site_fract_x
_atom_site_fract_y
_atom_site_fract_z
_atom_site_occupancy
Be1 0.000 0.000 0.000 1
V1 0.667 0.333 0.460 1
Rh1 0.333 0.667 0.912 1
```